1.
This record from Alexandria via LeMat-Bulk describes a relaxed CoReSe2 crystal. The functional is PBE.

a b c (Å): 4.4432 4.4432 4.4432
angles (deg): 60.00 60.00 60.00
Fractional coordinates of all 4 atoms:
Co1 0.0000 0.0000 0.0000
Re1 0.2500 0.2500 0.2500
Se1 0.5000 0.5000 0.5000
Se2 0.7500 0.7500 0.7500

## Properties
E above lowest polymorph = 1070 meV per atom
SG = F-43m (216)
Raw formation energy = 0.984 eV/atom

2.
This record from Alexandria via LeMat-Bulk describes a relaxed Zr2TeIr crystal. The functional is PBE.

a b c (Å): 3.8297 4.0917 5.7214
angles (deg): 90.00 109.45 90.00
Fractional coordinates of all 4 atoms:
Zr1 0.0000 0.0000 0.0000
Zr2 0.3063 0.5000 0.6128
Te1 0.7236 0.0000 0.4473
Ir1 0.5466 0.5000 0.1003

## Properties
SG = Pm (6)
Raw formation energy = -0.597 eV/atom

3.
This record from Alexandria via LeMat-Bulk describes a relaxed SrMg2TaHg crystal. The functional is PBE.

a b c (Å): 5.1838 5.1838 5.4571
angles (deg): 90.00 90.00 90.00
Fractional coordinates of all 5 atoms:
Sr1 0.0000 0.0000 0.0000
Mg1 0.0000 0.5000 0.5000
Mg2 0.5000 0.0000 0.5000
Ta1 0.5000 0.5000 0.0000
Hg1 0.5000 0.5000 0.5000

## Properties
E above lowest polymorph = 0 meV per atom
Calculated formation energy = 0.6600 eV/atom
SG = P4/mmm (123)

4.
This record from Alexandria via LeMat-Bulk describes a relaxed KZr3H crystal. The functional is PBE.

a b c (Å): 5.0472 5.0472 5.0472
angles (deg): 90.00 90.00 90.00
Fractional coordinates of all 5 atoms:
K1 0.0000 0.0000 0.0000
Zr1 0.0000 0.0000 0.5000
Zr2 0.0000 0.5000 0.0000
Zr3 0.5000 0.0000 0.0000
H1 0.5000 0.5000 0.5000

## Properties
E above lowest polymorph = 2037 meV per atom
SG = Pm-3m (221)

5.
This record from Alexandria via LeMat-Bulk describes a relaxed Tm2ZrSb2 crystal. The functional is PBE.

a b c (Å): 7.6929 7.6929 7.6929
angles (deg): 118.23 80.78 133.41
Fractional coordinates of all 10 atoms:
Tm1 0.1491 0.1601 0.3092
Tm2 0.3509 0.6601 0.0110
Tm3 0.6491 0.3399 0.9890
Tm4 0.8509 0.8399 0.6908
Zr1 0.2500 0.7500 0.5000
Zr2 0.7500 0.2500 0.5000
Sb1 0.1083 0.7824 0.8908
Sb2 0.3917 0.2824 0.6741
Sb3 0.6083 0.7176 0.3259
Sb4 0.8917 0.2176 0.1092

## Properties
SG = Ibam (72)
Raw formation energy = -0.686 eV/atom

6.
This record from Alexandria via LeMat-Bulk describes a relaxed TmPa2Mn2 crystal. The functional is PBE.

a b c (Å): 4.4519 6.9287 7.7895
angles (deg): 86.79 75.31 72.22
Fractional coordinates of all 10 atoms:
Tm1 0.2333 0.2397 0.4687
Tm2 0.7667 0.7603 0.5313
Pa1 0.1883 0.6332 0.8551
Pa2 0.4130 0.8404 0.1602
Pa3 0.5870 0.1596 0.8398
Pa4 0.8117 0.3668 0.1449
Mn1 0.0776 0.5773 0.1999
Mn2 0.2090 0.0182 0.8316
Mn3 0.7910 0.9818 0.1684
Mn4 0.9224 0.4227 0.8001

## Properties
Calculated formation energy = 0.0616 eV/atom
SG = P-1 (2)

7.
This record from Alexandria via LeMat-Bulk describes a relaxed SrHg4Pb crystal. The functional is PBE.

a b c (Å): 9.0414 9.0414 8.3001
angles (deg): 90.00 90.00 146.73
Fractional coordinates of all 12 atoms:
Sr1 0.1231 0.8769 0.7500
Sr2 0.8769 0.1231 0.2500
Hg1 0.0626 0.9374 0.2500
Hg2 0.2719 0.7281 0.0800
Hg3 0.2719 0.7281 0.4200
Hg4 0.5000 0.5000 0.0000
Hg5 0.5000 0.5000 0.5000
Hg6 0.7281 0.2719 0.5800
Hg7 0.7281 0.2719 0.9200
Hg8 0.9374 0.0626 0.7500
Pb1 0.3454 0.6546 0.7500
Pb2 0.6546 0.3454 0.2500

## Properties
E above lowest polymorph = 89 meV per atom
Calculated formation energy = -0.1783 eV/atom
SG = Cmcm (63)

8.
This record from Alexandria via LeMat-Bulk describes a relaxed CsHgI crystal. The functional is PBE.

a b c (Å): 5.3511 8.1077 5.3562
angles (deg): 90.00 90.00 90.00
Fractional coordinates of all 3 atoms:
Cs1 0.0000 0.0000 0.0000
Hg1 0.4921 0.5000 0.4828
I1 0.5001 0.0000 0.5001

## Properties
E above lowest polymorph = 57 meV per atom
SG = Pm (6)
Raw formation energy = -0.907 eV/atom

9.
This record from Alexandria via LeMat-Bulk describes a relaxed Ag2HgW crystal. The functional is PBE.

a b c (Å): 6.0400 6.0400 6.0400
angles (deg): 102.46 102.46 124.65
Fractional coordinates of all 8 atoms:
Ag1 0.1160 0.6250 0.9910
Ag2 0.3750 0.3660 0.4910
Ag3 0.6340 0.1250 0.0090
Ag4 0.8750 0.8840 0.5090
Hg1 0.2500 0.7500 0.5000
Hg2 0.5000 0.5000 0.0000
W1 0.0000 0.0000 0.0000
W2 0.7500 0.2500 0.5000

## Properties
Calculated formation energy = 1.1641 eV/atom
SG = I-42d (122)

10.
This record from Alexandria via LeMat-Bulk describes a relaxed LiFeCoAs2 crystal. The functional is PBE.

a b c (Å): 5.8093 5.8093 5.8093
angles (deg): 141.31 141.31 55.88
Fractional coordinates of all 5 atoms:
Li1 0.0000 0.0000 0.0000
Fe1 0.7500 0.2500 0.5000
Co1 0.2500 0.7500 0.5000
As1 0.3719 0.3719 0.0000
As2 0.6281 0.6281 0.0000

## Properties
Calculated formation energy = -0.3261 eV/atom
SG = I-4m2 (119)

11.
This record from Alexandria via LeMat-Bulk describes a relaxed AlTl2Ru2 crystal. The functional is PBE.

a b c (Å): 9.1003 9.1003 9.1003
angles (deg): 157.62 157.62 31.86
Fractional coordinates of all 5 atoms:
Al1 0.0000 0.0000 0.0000
Tl1 0.3874 0.3874 0.0000
Tl2 0.6126 0.6126 0.0000
Ru1 0.2500 0.7500 0.5000
Ru2 0.7500 0.2500 0.5000

## Properties
E above lowest polymorph = 494 meV per atom
Calculated formation energy = 0.6661 eV/atom
SG = I4/mmm (139)

12.
This record from Alexandria via LeMat-Bulk describes a relaxed In2HgOsO8 crystal. The functional is PBE.

a b c (Å): 4.8240 4.8240 6.9330
angles (deg): 90.00 90.00 92.60
Fractional coordinates of all 12 atoms:
In1 0.0000 0.0000 0.2490
In2 0.0000 0.0000 0.7510
Hg1 0.5000 0.5000 0.0000
Os1 0.5000 0.5000 0.5000
O1 0.1912 0.1912 0.0000
O2 0.2112 0.2112 0.5000
O3 0.3139 0.6861 0.3078
O4 0.3139 0.6861 0.6922
O5 0.6861 0.3139 0.3078
O6 0.6861 0.3139 0.6922
O7 0.7888 0.7888 0.5000
O8 0.8088 0.8088 0.0000

## Properties
SG = Cmmm (65)
Raw formation energy = -0.983 eV/atom

| no. | final energy (eV/f.u.) | size of the total moment (μB/atom) |
| --- | --- | --- |
| 1 | -22.6 | 0.19 |
| 2 | -31.5 | 0.00 |
| 3 | -13.7 | 0.26 |
| 4 | -17.0 | 0.32 |
| 5 | -29.2 | 0.00 |
| 6 | -41.5 | 0.00 |
| 7 | -7.7 | 0.00 |
| 8 | -5.4 | 0.00 |
| 9 | -14.3 | 0.10 |
| 10 | -28.4 | 0.00 |
| 11 | -23.7 | 0.00 |
| 12 | -68.5 | 0.00 |